# 1
Here is an optimized crystal structure of NaPuSnGe from Alexandria. Energies are from GGA-PBE.

Geometry as POSCAR:
```
NaPuSnGe
1.0
5.1698 0.0000 0.0000
2.5849 4.4772 0.0000
2.5849 1.4924 4.2211
Na Ge Pu Sn
1 1 1 1
Cartesian
0.0000 0.0000 0.0000
7.7547 4.4772 3.1658
5.1698 2.9848 2.1106
2.5849 1.4924 1.0553
```

**Symmetry**: F-43m, No. 216
**DOS at the Fermi energy**: 12.8 states/eV per cell
**Energy**: -6.208 eV per atom



# 2
Here is an optimized crystal structure of Na2PuGeTe4 from Alexandria. Energies are from GGA-PBE.

Geometry as POSCAR:
```
Na2PuGeTe4
1.0
-0.1848 3.3029 2.9279
0.1610 -5.1092 5.7737
7.3144 1.9962 -1.7902
Te Pu Na Ge
4 1 2 1
Cartesian
5.6979 0.2546 0.0725
1.5616 0.8726 2.4470
1.7775 -3.3675 3.9110
5.7290 -0.6826 4.4644
-0.0119 -0.9031 4.3508
3.7377 -1.5565 1.9917
3.5648 2.6496 0.5689
0.0000 0.0000 0.0000
```

**Symmetry**: P2/m, No. 10
**DOS at the Fermi energy**: 13.0 states/eV per cell
**Formation energy from raw total energies**: -532 kJ/mol of formula units



# 3
Here is an optimized crystal structure of NaPuGeTe3 from Alexandria. Energies are from GGA-PBE.

Geometry as POSCAR:
```
NaPuGeTe3
1.0
4.2896 0.0000 0.0000
0.0000 8.6587 0.2202
0.0000 -3.1547 10.6541
Te Pu Ge Na
6 2 2 2
Cartesian
1.0724 -1.7740 8.3712
3.2172 1.2122 5.9682
3.2172 7.2780 2.5031
1.0724 2.5865 9.5119
3.2172 2.9175 1.3624
1.0724 4.2918 4.9061
3.2172 0.4229 8.9868
1.0724 5.0811 1.8875
3.2172 6.1830 4.9918
1.0724 -0.6791 5.8825
1.0724 1.1384 2.9655
3.2172 4.3656 7.9088
```

**Symmetry**: P2_1/m, No. 11
**DOS at the Fermi energy**: 25.1 states/eV per cell
**Formation energy from raw total energies**: -390 kJ/mol of formula units



# 4
Here is an optimized crystal structure of NaPuTlGe from Alexandria. Energies are from GGA-PBE.

Geometry as POSCAR:
```
NaPuTlGe
1.0
-0.3763 -5.0392 -1.2674
2.3861 -1.7978 -4.2680
4.1498 -3.1169 0.4532
Na Tl Pu Ge
1 1 1 1
Cartesian
3.0798 -4.9769 -2.5411
4.6197 -7.4654 -3.8116
0.0000 0.0000 0.0000
1.5399 -2.4885 -1.2705
```

**Symmetry**: F-43m, No. 216
**DOS at the Fermi energy**: 12.9 states/eV per cell
**Energy**: -5.744 eV per atom



# 5
Here is an optimized crystal structure of NaPuZnGe from Alexandria. Energies are from GGA-PBE.

Geometry as POSCAR:
```
NaPuZnGe
1.0
4.9756 0.0000 0.0000
2.4878 4.3090 0.0000
2.4878 1.4363 4.0625
Zn Na Ge Pu
1 1 1 1
Cartesian
7.4633 4.3090 3.0469
4.9756 2.8726 2.0313
2.4878 1.4363 1.0156
0.0000 0.0000 0.0000
```

**Symmetry**: F-43m, No. 216
**DOS at the Fermi energy**: 8.9 states/eV per cell
**Energy**: -5.491 eV per atom



# 6
Here is an optimized crystal structure of Na2PuZnGe2 from Alexandria. Energies are from GGA-PBE.

Geometry as POSCAR:
```
Na2PuZnGe2
1.0
4.4659 0.0000 0.0000
0.0000 7.1171 0.0000
0.0000 0.0000 8.5520
Ge Na Zn Pu
4 4 2 2
Cartesian
0.0000 5.3113 1.6481
0.0000 1.7528 6.9038
2.2330 2.0135 3.3071
2.2330 5.5721 5.2449
2.2330 0.1272 0.7208
2.2330 3.6858 7.8312
0.0000 5.9396 7.2633
0.0000 2.3810 1.2886
2.2330 4.6836 2.7032
2.2330 1.1250 5.8488
0.0000 0.0422 3.9742
0.0000 3.6008 4.5778
```

**Symmetry**: Pmc2_1, No. 26
**DOS at the Fermi energy**: 21.0 states/eV per cell
**Energy**: -4.773 eV per atom



# 7
Here is an optimized crystal structure of Rb2NaGe from Alexandria. Energies are from GGA-PBE.

Geometry as POSCAR:
```
Rb2NaGe
1.0
-3.0672 6.0175 -3.2943
-5.4461 -5.7422 -5.4184
-5.0245 3.0483 10.2465
Rb Na Ge
8 4 4
Cartesian
-9.6759 3.0796 2.1445
-6.4537 -2.8845 -3.1790
-3.8619 0.2440 -0.6107
-3.7316 4.5531 -1.0677
-7.0840 6.2081 4.7128
-9.8062 -1.2295 2.6015
-7.0840 1.6434 5.3097
-6.4537 1.6802 -3.7759
-6.2876 -2.4503 1.3624
-7.2501 5.7740 0.1713
-8.4453 -0.0948 -0.8968
-5.0925 3.4184 2.4306
-6.8510 2.5571 -0.0837
-10.1907 0.8958 -3.4552
-3.3471 2.4279 4.9890
-6.6868 0.7666 1.6175
```

**Symmetry**: P2_1/c, No. 14
**DOS at the Fermi energy**: 13.8 states/eV per cell
**Energy**: -1.960 eV per atom



# 8
Here is an optimized crystal structure of Rb2NaGe from Alexandria. Energies are from GGA-PBE.

Geometry as POSCAR:
```
Rb2NaGe
1.0
5.2397 0.0000 0.0000
0.0000 5.2397 0.0000
2.6198 2.6198 12.6124
Rb Na Ge
4 2 2
Cartesian
3.9297 3.8850 9.4593
6.5496 6.5943 9.4593
1.2652 3.9297 3.1531
3.9745 1.3099 3.1531
2.6198 2.6198 0.0000
2.6198 5.2397 6.3062
0.0000 0.0000 0.0000
5.2397 2.6198 6.3062
```

**Symmetry**: I-42d, No. 122
**DOS at the Fermi energy**: 5.6 states/eV per cell
**Energy**: -1.617 eV per atom



# 9
Here is an optimized crystal structure of Rb2NaGe2 from Alexandria. Energies are from GGA-PBE.

Geometry as POSCAR:
```
Rb2NaGe2
1.0
6.9845 0.0000 0.0000
-3.4922 5.9831 0.2094
0.0000 -2.3549 9.2190
Na Rb Ge
2 4 4
Cartesian
6.3493 -0.5887 2.3048
0.6352 -1.7662 6.9143
4.6818 0.2167 5.8678
-1.1896 3.4115 3.5607
2.3026 1.3941 1.2583
1.1896 2.2340 8.1702
2.2341 2.8724 4.7543
5.7263 -0.4216 9.2837
-2.2341 4.0498 0.1448
1.2582 0.7558 4.6742
```

**Energy above the most stable polymorph in this dataset**: 0 meV/atom
**Symmetry**: C2/c, No. 15
**DOS at the Fermi energy**: 4.4 states/eV per cell



# 10
Here is an optimized crystal structure of Rb3NaGe from Alexandria. Energies are from GGA-PBE.

Geometry as POSCAR:
```
Rb3NaGe
1.0
-6.0889 3.3667 0.1365
-0.5306 -0.6797 -6.9054
-3.3274 -6.0524 0.8515
Rb Ge Na
3 1 1
Cartesian
-3.0445 1.6834 0.0682
-1.6637 -3.0262 0.4257
-0.2653 -0.3399 -3.4527
0.0000 0.0000 0.0000
-4.9735 -1.6827 -2.9587
```

**Energy above the most stable polymorph in this dataset**: 0 meV/atom
**Symmetry**: Pm-3m, No. 221
**DOS at the Fermi energy**: 2.8 states/eV per cell



# 11
Here is an optimized crystal structure of RbNa2Ge17 from Alexandria. Energies are from GGA-PBE.

Geometry as POSCAR:
```
RbNa2Ge17
1.0
-10.4025 3.7552 1.5192
-4.8573 -0.9118 10.0099
-1.7950 9.1187 6.1845
Rb Na Ge
2 4 34
Cartesian
-4.2637 2.9905 4.4284
0.0000 0.0000 0.0000
-10.6592 7.4764 11.0710
-5.4580 5.5987 10.3114
-9.7617 2.9170 7.9787
-8.2306 7.9322 6.0661
-8.2536 4.4572 5.0802
-15.1504 12.2508 13.8683
-10.0011 6.2035 14.3869
-10.8039 6.2647 7.7779
-7.6118 8.2537 9.5081
-12.4691 4.9765 9.1939
-12.7910 8.9716 13.2852
-8.7475 4.5339 10.9267
-14.0632 6.7274 10.1222
-7.9584 5.9223 12.8982
-8.5274 5.9811 8.8568
-6.9462 4.8720 7.2145
-7.2552 8.2254 12.0199
-10.1226 11.0478 10.9986
-13.7066 6.6990 12.6340
-10.6422 5.3195 5.4290
-11.3173 8.7492 7.7551
-5.4283 8.5683 8.2549
-7.2832 2.4925 10.5720
-9.3409 9.9807 8.8263
-5.0162 6.4746 6.8349
-16.3022 8.4782 15.3071
-11.9775 4.9720 13.3157
-14.3722 10.0807 14.9275
-15.8901 6.3844 13.8871
-14.0352 12.4602 11.5700
-6.1680 2.7019 8.2737
-10.5145 8.6880 14.3641
-11.1958 3.9049 11.1435
-13.0647 10.4955 17.0618
-13.3600 9.0304 9.2438
-8.8493 9.9762 12.9481
-12.5709 10.4188 11.2153
-10.6762 9.6332 16.7130
```

**Symmetry**: Fd-3m, No. 227
**DOS at the Fermi energy**: 10.7 states/eV per cell
**Energy**: -4.180 eV per atom



# 12
Here is an optimized crystal structure of Rb2NaGe2 from Alexandria. Energies are from GGA-PBE.

Geometry as POSCAR:
```
Rb2NaGe2
1.0
8.4936 0.0000 0.0000
0.0000 8.4936 0.0000
0.0000 0.0000 5.4475
Rb Ge Na
4 4 2
Cartesian
2.6352 1.6116 2.7237
6.8820 2.6352 2.7237
5.8584 6.8820 2.7237
1.6116 5.8584 2.7237
3.4231 7.6699 0.0000
5.0704 0.8236 0.0000
7.6699 5.0704 0.0000
0.8236 3.4231 0.0000
0.0000 0.0000 0.0000
4.2468 4.2468 0.0000
```

**Energy above the most stable polymorph in this dataset**: 44 meV/atom
**Symmetry**: P4/mbm, No. 127
**DOS at the Fermi energy**: 6.2 states/eV per cell